Entry from Alexandria: a relaxed CoP2W2 crystal (GGA-PBE).

Computed properties:
Energy above the lowest structure with this stoichiometry, meV/atom: 187.4
Formation enthalpy at 0 K, eV per atom: 0.205
Calculated density, Mg/m³: 10.50
Density of states at the Fermi level, states/eV/cell: 9.923

abc: 4.181 4.181 5.316
angles: 66.84 66.84 90.00
Site moments in Bohr magnetons follow the coordinates.
Element x y z (fractional)
P (0.380, 0.380, 0.239)  0.01
P (0.620, 0.620, 0.761)  0.01
Co (0.000, 0.000, 0.000)  1.37
W (0.750, 0.250, 0.500)  -0.15
W (0.250, 0.750, 0.500)  -0.15